#P
DFT (GGA-PBEsol) results for crystalline BaSr2Tl at its relaxed geometry.

Summary:
Density in Mg/m³: 5.02

Cell lengths 4.199, 5.488, 7.615 Å; angles 90.00, 103.00, 90.00 degrees
Space group P2/m (No. 10)
Unique sites:
Ba  0.000  0.000  0.000
Sr  0.384  0.500  0.714
Tl  0.000  0.000  0.500



#Q
DFT (GGA-PBEsol) results for crystalline BaSr2Tl at its relaxed geometry.

Summary:
Density in Mg/m³: 4.94

Cell lengths 4.178, 6.303, 13.192 Å; angles 90.00, 90.00, 90.00 degrees
Space group Immm (No. 71)
Unique sites:
Ba  0.000  0.000  0.000
Sr  0.000  0.500  0.200
Tl  0.000  0.000  0.500



#R
DFT (GGA-PBEsol) results for crystalline BaSr2Tl at its relaxed geometry.

Summary:
Density in Mg/m³: 5.53

Cell lengths 8.530, 8.530, 8.530 Å; angles 90.00, 90.00, 90.00 degrees
Space group Fm-3m (No. 225)
Unique sites:
Ba  0.000  0.000  0.000
Sr  0.250  0.250  0.250
Tl  0.000  0.000  0.500



Least stable structure: #R



#P
DFT (GGA-PBEsol) results for crystalline Ba2SrW at its relaxed geometry.

Summary:
Density in Mg/m³: 6.17

Cell lengths 3.7404, 3.7404, 36.4108 Å; angles 90.00, 90.00, 120.00 degrees
Space group R-3m (No. 166, hexagonal axes)
Unique sites:
Ba  0.0000  0.0000  0.2321
Sr  0.0000  0.0000  0.0000
W  0.0000  0.0000  0.5000



#Q
DFT (GGA-PBEsol) results for crystalline Ba2SrW at its relaxed geometry.

Summary:
Density in Mg/m³: 5.92

Cell lengths 3.843, 3.843, 10.373 Å; angles 90.00, 90.00, 90.00 degrees
Space group P4mm (No. 99)
Unique sites:
Ba  0.000  0.000  0.000
Ba  0.500  0.500  0.315
Sr  0.000  0.000  0.637
W  0.500  0.500  0.816



Least stable structure: #P



#P
DFT (GGA-PBEsol) results for crystalline Ba2SrZr at its relaxed geometry.

Summary:
Density in Mg/m³: 4.74

Cell lengths 7.729, 10.880, 3.778 Å; angles 90.00, 90.00, 90.00 degrees
Space group Cmmm (No. 65)
Unique sites:
Ba  0.250  0.250  0.000
Sr  0.000  0.000  0.500
Zr  0.000  0.500  0.500



#Q
DFT (GGA-PBEsol) results for crystalline Ba2SrZr at its relaxed geometry.

Summary:
Density in Mg/m³: 4.59

Cell lengths 8.688, 8.688, 8.688 Å; angles 90.00, 90.00, 90.00 degrees
Space group Fm-3m (No. 225)
Unique sites:
Ba  0.250  0.250  0.250
Sr  0.000  0.000  0.000
Zr  0.000  0.000  0.500



Least stable structure: #Q